Entry from the Alexandria database: LuMgBeCu after structural relaxation (PBE-GGA). Values from VASP.

## Properties
D(E_F)   1.015 states/eV/cell
Energy of formation   -0.053 eV/atom
Mass density   6.7 g/cm3

```
&SYSTEM
  ibrav = 0, nat = 4, ntyp = 4
/
ATOMIC_SPECIES
Lu 174.97 Lu.upf
Mg 24.30 Mg.upf
Be 9.01 Be.upf
Cu 63.55 Cu.upf
CELL_PARAMETERS angstrom
0.000 3.235 3.235
3.235 0.000 3.235
3.235 3.235 0.000
ATOMIC_POSITIONS crystal
Lu 0.000 0.000 0.000
Mg 0.500 0.500 0.500
Be 0.750 0.750 0.750
Cu 0.250 0.250 0.250
```

Entry from the Alexandria database: NdYHo2 after structural relaxation (PBE-GGA). Values from VASP.

## Properties
D(E_F)   22.978 states/eV/cell
Energy of formation   0.022 eV/atom
Energy relative to the lowest polymorph listed for this composition   0.0149 eV/atom
Mass density   7.2 g/cm3

```
&SYSTEM
  ibrav = 0, nat = 16, ntyp = 3
/
ATOMIC_SPECIES
Nd 144.24 Nd.upf
Y 88.91 Y.upf
Ho 164.93 Ho.upf
CELL_PARAMETERS angstrom
10.133 0.000 0.000
0.000 5.053 0.000
0.000 0.000 10.091
ATOMIC_POSITIONS crystal
Nd 0.126 0.250 0.000
Nd 0.374 0.750 0.500
Nd 0.626 0.250 0.500
Nd 0.874 0.750 0.000
Y 0.125 0.750 0.252
Y 0.375 0.250 0.752
Y 0.625 0.750 0.248
Y 0.875 0.250 0.748
Ho 0.123 0.250 0.500
Ho 0.125 0.750 0.748
Ho 0.375 0.250 0.248
Ho 0.377 0.750 0.000
Ho 0.623 0.250 0.000
Ho 0.625 0.750 0.752
Ho 0.875 0.250 0.252
Ho 0.877 0.750 0.500
```

Entry from the Alexandria database: MnHg2Pd8 after structural relaxation (PBE-GGA). Values from VASP.

## Properties
D(E_F)   8.410 states/eV/cell
Energy of formation   -0.059 eV/atom
Energy relative to the lowest polymorph listed for this composition   0.0000 eV/atom
Mass density   11.7 g/cm3

```
&SYSTEM
  ibrav = 0, nat = 11, ntyp = 3
/
ATOMIC_SPECIES
Mn 54.94 Mn.upf
Hg 200.59 Hg.upf
Pd 106.42 Pd.upf
CELL_PARAMETERS angstrom
-2.217 3.312 6.314
2.217 -3.312 6.314
2.217 3.312 -6.314
ATOMIC_POSITIONS crystal
Mn 0.000 0.000 0.000
Hg 0.304 0.304 0.000
Hg 0.696 0.696 0.000
Pd 0.140 0.861 0.279
Pd 0.158 0.658 0.500
Pd 0.283 0.500 0.783
Pd 0.418 0.139 0.279
Pd 0.582 0.861 0.721
Pd 0.717 0.500 0.217
Pd 0.842 0.342 0.500
Pd 0.860 0.139 0.721
```

Entry from the Alexandria database: Ac4Ga4Sn after structural relaxation (PBE-GGA). Values from VASP.

## Properties
D(E_F)   13.219 states/eV/cell
Energy of formation   -0.352 eV/atom
Mass density   7.8 g/cm3

```
&SYSTEM
  ibrav = 0, nat = 18, ntyp = 3
/
ATOMIC_SPECIES
Ac 227.00 Ac.upf
Ga 69.72 Ga.upf
Sn 118.71 Sn.upf
CELL_PARAMETERS angstrom
9.665 0.000 0.000
0.000 9.665 0.000
0.000 0.000 5.970
ATOMIC_POSITIONS crystal
Ac 0.071 0.844 0.151
Ac 0.156 0.571 0.651
Ac 0.344 0.929 0.651
Ac 0.429 0.656 0.151
Ac 0.571 0.344 0.849
Ac 0.656 0.071 0.349
Ac 0.844 0.429 0.349
Ac 0.929 0.156 0.849
Ga 0.087 0.175 0.354
Ga 0.175 0.413 0.146
Ga 0.325 0.087 0.146
Ga 0.413 0.325 0.354
Ga 0.587 0.675 0.646
Ga 0.675 0.913 0.854
Ga 0.825 0.587 0.854
Ga 0.913 0.825 0.646
Sn 0.250 0.250 0.750
Sn 0.750 0.750 0.250
```

Entry from the Alexandria database: Al2SnWBr after structural relaxation (PBE-GGA). Values from VASP.

## Properties
D(E_F)   3.148 states/eV/cell
Mass density   4.5 g/cm3
Uncorrected formation energy   137 kJ per mole of atoms

```
&SYSTEM
  ibrav = 0, nat = 5, ntyp = 4
/
ATOMIC_SPECIES
Al 26.98 Al.upf
Sn 118.71 Sn.upf
W 183.84 W.upf
Br 79.90 Br.upf
CELL_PARAMETERS angstrom
5.512 0.000 0.000
0.000 5.512 0.000
0.000 0.000 5.336
ATOMIC_POSITIONS crystal
Al 0.000 0.500 0.000
Al 0.500 0.000 0.000
Sn 0.000 0.000 0.000
W 0.000 0.000 0.500
Br 0.500 0.500 0.500
```

Entry from the Alexandria database: U4Si6Os7 after structural relaxation (PBE-GGA). Values from VASP.

## Properties
D(E_F)   16.096 states/eV/cell
Mass density   14.7 g/cm3
Uncorrected formation energy   -54 kJ per mole of atoms

```
&SYSTEM
  ibrav = 0, nat = 17, ntyp = 3
/
ATOMIC_SPECIES
U 238.03 U.upf
Si 28.09 Si.upf
Os 190.23 Os.upf
CELL_PARAMETERS angstrom
-4.102 4.102 4.102
4.102 -4.102 4.102
4.102 4.102 -4.102
ATOMIC_POSITIONS crystal
U 0.000 0.000 0.500
U 0.000 0.500 0.000
U 0.500 0.000 0.000
U 0.500 0.500 0.500
Si 0.000 0.311 0.311
Si 0.000 0.689 0.689
Si 0.311 0.000 0.311
Si 0.311 0.311 0.000
Si 0.689 0.000 0.689
Si 0.689 0.689 0.000
Os 0.000 0.000 0.000
Os 0.250 0.500 0.750
Os 0.250 0.750 0.500
Os 0.500 0.250 0.750
Os 0.500 0.750 0.250
Os 0.750 0.250 0.500
Os 0.750 0.500 0.250
```

Entry from the Alexandria database: LiLa3Ga2Au6 after structural relaxation (PBE-GGA). Values from VASP.

## Properties
D(E_F)   5.862 states/eV/cell
Energy of formation   -0.551 eV/atom
Mass density   10.2 g/cm3

```
&SYSTEM
  ibrav = 0, nat = 12, ntyp = 4
/
ATOMIC_SPECIES
Li 6.94 Li.upf
La 138.91 La.upf
Ga 69.72 Ga.upf
Au 196.97 Au.upf
CELL_PARAMETERS angstrom
6.252 0.000 0.000
-3.126 5.414 0.000
0.000 0.000 8.415
ATOMIC_POSITIONS crystal
Li 0.000 0.000 0.000
La 0.000 0.000 0.500
La 0.333 0.667 0.137
La 0.667 0.333 0.863
Ga 0.333 0.667 0.523
Ga 0.667 0.333 0.477
Au 0.177 0.354 0.786
Au 0.177 0.823 0.786
Au 0.354 0.177 0.214
Au 0.646 0.823 0.786
Au 0.823 0.177 0.214
Au 0.823 0.646 0.214
```

Entry from the Alexandria database: Gd4YEr after structural relaxation (PBE-GGA). Values from VASP.

## Properties
D(E_F)   11.740 states/eV/cell
Energy of formation   0.240 eV/atom
Mass density   7.3 g/cm3

```
&SYSTEM
  ibrav = 0, nat = 6, ntyp = 3
/
ATOMIC_SPECIES
Gd 157.25 Gd.upf
Y 88.91 Y.upf
Er 167.26 Er.upf
CELL_PARAMETERS angstrom
0.000 4.642 4.642
4.642 0.000 4.642
4.642 4.642 0.000
ATOMIC_POSITIONS crystal
Gd 0.125 0.125 0.125
Gd 0.125 0.125 0.625
Gd 0.125 0.625 0.125
Gd 0.625 0.125 0.125
Y 0.750 0.750 0.750
Er 0.500 0.500 0.500
```

Entry from the Alexandria database: LiBeSi after structural relaxation (PBE-GGA). Values from VASP.

## Properties
D(E_F)   0.718 states/eV/cell
Energy relative to the lowest polymorph listed for this composition   0.0302 eV/atom
Mass density   1.9 g/cm3
Uncorrected formation energy   -1 kJ per mole of atoms

```
&SYSTEM
  ibrav = 0, nat = 3, ntyp = 3
/
ATOMIC_SPECIES
Li 6.94 Li.upf
Be 9.01 Be.upf
Si 28.09 Si.upf
CELL_PARAMETERS angstrom
3.927 0.000 0.000
-1.963 3.401 0.000
0.000 0.000 2.866
ATOMIC_POSITIONS crystal
Li 0.000 0.000 0.000
Be 0.333 0.667 0.500
Si 0.667 0.333 0.500
```

Entry from the Alexandria database: Sr2CuOs after structural relaxation (PBE-GGA). Values from VASP.

## Properties
D(E_F)   4.808 states/eV/cell
Energy of formation   0.784 eV/atom
Mass density   7.9 g/cm3

```
&SYSTEM
  ibrav = 0, nat = 4, ntyp = 3
/
ATOMIC_SPECIES
Sr 87.62 Sr.upf
Cu 63.55 Cu.upf
Os 190.23 Os.upf
CELL_PARAMETERS angstrom
0.000 3.562 3.562
3.562 0.000 3.562
3.562 3.562 0.000
ATOMIC_POSITIONS crystal
Sr 0.000 0.000 0.000
Sr 0.250 0.250 0.250
Cu 0.750 0.750 0.750
Os 0.500 0.500 0.500
```

Entry from the Alexandria database: LiSnBIr2 after structural relaxation (PBE-GGA). Values from VASP.

## Properties
D(E_F)   2.185 states/eV/cell
Energy of formation   -0.224 eV/atom
Mass density   12.1 g/cm3

```
&SYSTEM
  ibrav = 0, nat = 5, ntyp = 4
/
ATOMIC_SPECIES
Li 6.94 Li.upf
Sn 118.71 Sn.upf
B 10.81 B.upf
Ir 192.22 Ir.upf
CELL_PARAMETERS angstrom
4.130 0.000 0.000
0.000 4.130 0.000
0.000 0.000 4.200
ATOMIC_POSITIONS crystal
Li 0.000 0.000 0.000
Sn 0.500 0.500 0.000
B 0.000 0.000 0.500
Ir 0.000 0.500 0.500
Ir 0.500 0.000 0.500
```

Entry from the Alexandria database: FeIrAu2 after structural relaxation (PBE-GGA). Values from VASP.

## Properties
D(E_F)   3.675 states/eV/cell
Energy of formation   0.202 eV/atom
Energy relative to the lowest polymorph listed for this composition   0.0815 eV/atom
Mass density   16.5 g/cm3

```
&SYSTEM
  ibrav = 0, nat = 4, ntyp = 3
/
ATOMIC_SPECIES
Fe 55.84 Fe.upf
Ir 192.22 Ir.upf
Au 196.97 Au.upf
CELL_PARAMETERS angstrom
1.443 -2.364 0.000
1.443 2.364 0.000
0.000 0.000 9.470
ATOMIC_POSITIONS crystal
Fe 0.000 0.000 0.000
Ir 0.500 0.500 0.215
Au 0.000 0.000 0.481
Au 0.500 0.500 0.757
```

Entry from the Alexandria database: CsPaSe3Cl after structural relaxation (PBE-GGA). Values from VASP.

## Properties
Mass density   3.9 g/cm3
Uncorrected formation energy   -102 kJ per mole of atoms

```
&SYSTEM
  ibrav = 0, nat = 12, ntyp = 4
/
ATOMIC_SPECIES
Cs 132.91 Cs.upf
Pa 231.04 Pa.upf
Se 78.96 Se.upf
Cl 35.45 Cl.upf
CELL_PARAMETERS angstrom
3.452 -10.762 0.000
3.452 10.762 0.000
-0.170 0.000 7.243
ATOMIC_POSITIONS crystal
Cs 0.233 0.767 0.750
Cs 0.767 0.233 0.250
Pa 0.043 0.957 0.250
Pa 0.957 0.043 0.750
Se 0.166 0.834 0.250
Se 0.200 0.267 0.448
Se 0.267 0.200 0.948
Se 0.733 0.800 0.052
Se 0.800 0.733 0.552
Se 0.834 0.166 0.750
Cl 0.293 0.707 0.250
Cl 0.707 0.293 0.750
```

Entry from the Alexandria database: AlTlAu4 after structural relaxation (PBE-GGA). Values from VASP.

## Properties
D(E_F)   3.983 states/eV/cell
Energy of formation   -0.113 eV/atom
Energy relative to the lowest polymorph listed for this composition   0.0000 eV/atom
Mass density   13.9 g/cm3

```
&SYSTEM
  ibrav = 0, nat = 12, ntyp = 3
/
ATOMIC_SPECIES
Al 26.98 Al.upf
Tl 204.38 Tl.upf
Au 196.97 Au.upf
CELL_PARAMETERS angstrom
6.538 -3.259 0.000
6.538 3.259 0.000
-2.264 0.000 5.726
ATOMIC_POSITIONS crystal
Al 0.044 0.044 0.321
Al 0.956 0.956 0.679
Tl 0.301 0.301 0.683
Tl 0.699 0.699 0.317
Au 0.163 0.616 0.328
Au 0.192 0.192 0.117
Au 0.282 0.718 0.000
Au 0.384 0.837 0.672
Au 0.616 0.163 0.328
Au 0.718 0.282 0.000
Au 0.808 0.808 0.883
Au 0.837 0.384 0.672
```

Entry from the Alexandria database: SrPm8Y6 after structural relaxation (PBE-GGA). Values from VASP.

## Properties
D(E_F)   21.188 states/eV/cell
Energy of formation   0.194 eV/atom
Mass density   5.8 g/cm3

```
&SYSTEM
  ibrav = 0, nat = 15, ntyp = 3
/
ATOMIC_SPECIES
Sr 87.62 Sr.upf
Pm 145.00 Pm.upf
Y 88.91 Y.upf
CELL_PARAMETERS angstrom
4.912 2.836 6.110
-4.912 2.836 6.110
0.000 -5.672 6.110
ATOMIC_POSITIONS crystal
Sr 0.000 0.000 0.000
Pm 0.052 0.860 0.386
Pm 0.140 0.614 0.948
Pm 0.238 0.238 0.238
Pm 0.386 0.052 0.860
Pm 0.614 0.948 0.140
Pm 0.762 0.762 0.762
Pm 0.860 0.386 0.052
Pm 0.948 0.140 0.614
Y 0.175 0.433 0.618
Y 0.382 0.825 0.567
Y 0.433 0.618 0.175
Y 0.567 0.382 0.825
Y 0.618 0.175 0.433
Y 0.825 0.567 0.382
```

Entry from the Alexandria database: Cd2MoP after structural relaxation (PBE-GGA). Values from VASP.

## Properties
D(E_F)   2.201 states/eV/cell
Energy of formation   0.183 eV/atom
Mass density   7.2 g/cm3

```
&SYSTEM
  ibrav = 0, nat = 4, ntyp = 3
/
ATOMIC_SPECIES
Cd 112.41 Cd.upf
Mo 95.94 Mo.upf
P 30.97 P.upf
CELL_PARAMETERS angstrom
1.611 -2.376 0.000
1.611 2.376 0.000
0.000 0.000 10.645
ATOMIC_POSITIONS crystal
Cd 0.000 0.000 0.000
Cd 0.500 0.500 0.284
Mo 0.000 0.000 0.518
P 0.500 0.500 0.682
```

Entry from the Alexandria database: Sr2TaMo after structural relaxation (PBE-GGA). Values from VASP.

## Properties
D(E_F)   5.925 states/eV/cell
Energy of formation   0.752 eV/atom
Energy relative to the lowest polymorph listed for this composition   0.2791 eV/atom
Mass density   6.5 g/cm3

```
&SYSTEM
  ibrav = 0, nat = 4, ntyp = 3
/
ATOMIC_SPECIES
Sr 87.62 Sr.upf
Ta 180.95 Ta.upf
Mo 95.94 Mo.upf
CELL_PARAMETERS angstrom
-1.777 2.932 5.543
1.777 -2.932 5.543
1.777 2.932 -5.543
ATOMIC_POSITIONS crystal
Sr 0.000 0.000 0.000
Sr 0.702 0.202 0.500
Ta 0.285 0.785 0.500
Mo 0.438 0.438 0.000
```

Entry from the Alexandria database: Sr2LaReB after structural relaxation (PBE-GGA). Values from VASP.

## Properties
D(E_F)   5.710 states/eV/cell
Energy of formation   1.959 eV/atom
Mass density   4.6 g/cm3

```
&SYSTEM
  ibrav = 0, nat = 5, ntyp = 4
/
ATOMIC_SPECIES
Sr 87.62 Sr.upf
La 138.91 La.upf
Re 186.21 Re.upf
B 10.81 B.upf
CELL_PARAMETERS angstrom
6.254 0.000 0.000
0.000 6.254 0.000
0.000 0.000 4.755
ATOMIC_POSITIONS crystal
Sr 0.000 0.500 0.000
Sr 0.500 0.000 0.000
La 0.000 0.000 0.000
Re 0.000 0.000 0.500
B 0.500 0.500 0.500
```

Entry from the Alexandria database: NdDy2Y5Sc after structural relaxation (PBE-GGA). Values from VASP.

## Properties
D(E_F)   30.683 states/eV/cell
Energy of formation   0.167 eV/atom
Mass density   5.5 g/cm3

```
&SYSTEM
  ibrav = 0, nat = 18, ntyp = 4
/
ATOMIC_SPECIES
Nd 144.24 Nd.upf
Dy 162.50 Dy.upf
Y 88.91 Y.upf
Sc 44.96 Sc.upf
CELL_PARAMETERS angstrom
2.791 -9.943 0.000
2.791 9.943 0.000
0.000 0.000 10.405
ATOMIC_POSITIONS crystal
Nd 0.088 0.912 0.500
Nd 0.912 0.088 0.000
Dy 0.386 0.614 0.786
Dy 0.389 0.611 0.364
Dy 0.611 0.389 0.864
Dy 0.614 0.386 0.286
Y 0.020 0.980 0.788
Y 0.128 0.872 0.071
Y 0.202 0.798 0.754
Y 0.226 0.774 0.380
Y 0.482 0.518 0.069
Y 0.518 0.482 0.569
Y 0.774 0.226 0.880
Y 0.798 0.202 0.254
Y 0.872 0.128 0.571
Y 0.980 0.020 0.288
Sc 0.307 0.693 0.066
Sc 0.693 0.307 0.566
```

Entry from the Alexandria database: WNCl2 after structural relaxation (PBE-GGA). Values from VASP.

## Properties
D(E_F)   1.795 states/eV/cell
Energy relative to the lowest polymorph listed for this composition   1.3265 eV/atom
Mass density   5.4 g/cm3
Uncorrected formation energy   113 kJ per mole of atoms

```
&SYSTEM
  ibrav = 0, nat = 4, ntyp = 3
/
ATOMIC_SPECIES
W 183.84 W.upf
N 14.01 N.upf
Cl 35.45 Cl.upf
CELL_PARAMETERS angstrom
1.560 0.901 9.845
-1.560 0.901 9.845
0.000 -1.801 9.845
ATOMIC_POSITIONS crystal
W 0.000 0.000 0.000
N 0.500 0.500 0.500
Cl 0.392 0.392 0.392
Cl 0.608 0.608 0.608
```

Entry from the Alexandria database: ErZn2Cd4 after structural relaxation (PBE-GGA). Values from VASP.

## Properties
D(E_F)   2.824 states/eV/cell
Energy of formation   -0.150 eV/atom
Mass density   8.4 g/cm3

```
&SYSTEM
  ibrav = 0, nat = 7, ntyp = 3
/
ATOMIC_SPECIES
Er 167.26 Er.upf
Zn 65.41 Zn.upf
Cd 112.41 Cd.upf
CELL_PARAMETERS angstrom
2.236 -8.281 0.000
2.236 8.281 0.000
0.000 0.000 4.000
ATOMIC_POSITIONS crystal
Er 0.000 0.000 0.000
Zn 0.428 0.572 0.500
Zn 0.572 0.428 0.500
Cd 0.169 0.831 0.500
Cd 0.315 0.685 0.000
Cd 0.685 0.315 0.000
Cd 0.831 0.169 0.500
```

Entry from the Alexandria database: BMoSeBr2 after structural relaxation (PBE-GGA). Values from VASP.

## Properties
D(E_F)   2.735 states/eV/cell
Energy relative to the lowest polymorph listed for this composition   0.0000 eV/atom
Mass density   4.2 g/cm3
Uncorrected formation energy   94 kJ per mole of atoms

```
&SYSTEM
  ibrav = 0, nat = 5, ntyp = 4
/
ATOMIC_SPECIES
B 10.81 B.upf
Mo 95.94 Mo.upf
Se 78.96 Se.upf
Br 79.90 Br.upf
CELL_PARAMETERS angstrom
5.278 0.000 0.000
0.000 5.278 0.000
0.000 0.000 4.885
ATOMIC_POSITIONS crystal
B 0.000 0.000 0.000
Mo 0.500 0.500 0.500
Se 0.500 0.500 0.000
Br 0.000 0.500 0.500
Br 0.500 0.000 0.500
```

Entry from the Alexandria database: ErSc2In2 after structural relaxation (PBE-GGA). Values from VASP.

## Properties
D(E_F)   6.450 states/eV/cell
Energy of formation   -0.166 eV/atom
Energy relative to the lowest polymorph listed for this composition   0.2222 eV/atom
Mass density   6.0 g/cm3

```
&SYSTEM
  ibrav = 0, nat = 5, ntyp = 3
/
ATOMIC_SPECIES
Er 167.26 Er.upf
Sc 44.96 Sc.upf
In 114.82 In.upf
CELL_PARAMETERS angstrom
5.030 0.000 0.000
-2.515 4.356 0.000
0.000 0.000 6.199
ATOMIC_POSITIONS crystal
Er 0.000 0.000 0.000
Sc 0.333 0.667 0.658
Sc 0.667 0.333 0.342
In 0.333 0.667 0.189
In 0.667 0.333 0.811
```

Entry from the Alexandria database: TaTlMo after structural relaxation (PBE-GGA). Values from VASP.

## Properties
D(E_F)   1.898 states/eV/cell
Energy of formation   1.036 eV/atom
Energy relative to the lowest polymorph listed for this composition   0.6887 eV/atom
Mass density   11.9 g/cm3

```
&SYSTEM
  ibrav = 0, nat = 3, ntyp = 3
/
ATOMIC_SPECIES
Ta 180.95 Ta.upf
Tl 204.38 Tl.upf
Mo 95.94 Mo.upf
CELL_PARAMETERS angstrom
0.000 3.225 3.225
3.225 0.000 3.225
3.225 3.225 0.000
ATOMIC_POSITIONS crystal
Ta 0.000 0.000 0.000
Tl 0.500 0.500 0.500
Mo 0.750 0.750 0.750
```